(1)
Material: Dy4Y6Pu
Method: DFT, PBE
State: optimized geometry

Calculated values
ρ   6.8 Mg/m³
SG   P4/mnc (128)
Energy of formation from the pure elements   0.182 eV per atom
Magnetic moment   14.318 Bohr magnetons per cell
Calculated total energy   -139.05 eV for the cell shown

a = 8.723 Å, b = 8.723 Å, c = 9.137 Å
α = 90.00°, β = 90.00°, γ = 90.00°
Element x y z (fractional)
Dy1 0.145 0.355 0.250
Dy2 0.145 0.355 0.750
Dy3 0.355 0.855 0.250
Dy4 0.355 0.855 0.750
Dy5 0.645 0.145 0.250
Dy6 0.645 0.145 0.750
Dy7 0.855 0.645 0.250
Dy8 0.855 0.645 0.750
Y1 0.000 0.000 0.172
Y2 0.000 0.000 0.828
Y3 0.153 0.654 0.000
Y4 0.154 0.653 0.500
Y5 0.346 0.153 0.000
Y6 0.347 0.154 0.500
Y7 0.500 0.500 0.328
Y8 0.500 0.500 0.672
Y9 0.653 0.846 0.500
Y10 0.654 0.847 0.000
Y11 0.846 0.347 0.500
Y12 0.847 0.346 0.000
Pu1 0.000 0.000 0.500
Pu2 0.500 0.500 0.000



(2)
Material: KReCl
Method: DFT, PBE
State: optimized geometry

Calculated values
ρ   7.1 Mg/m³
SG   Fmm2 (42)
Raw formation energy   0.844 eV per atom
Magnetic moment   0.958 Bohr magnetons per cell
Calculated total energy   -12.86 eV for the cell shown

a = 7.921 Å, b = 7.609 Å, c = 3.080 Å
α = 84.33°, β = 72.91°, γ = 22.76°
Element x y z (fractional)
K1 0.000 0.000 0.000
Re1 0.303 0.303 0.697
Cl1 0.670 0.670 0.330



(3)
Material: Dy5Hg
Method: DFT, PBE
State: optimized geometry

Calculated values
ρ   9.4 Mg/m³
SG   Cm (8)
Energy of formation from the pure elements   -0.130 eV per atom
Magnetic moment   0.000 Bohr magnetons per cell
Calculated total energy   -24.09 eV for the cell shown

a = 6.386 Å, b = 6.386 Å, c = 8.481 Å
α = 111.19°, β = 111.19°, γ = 33.93°
Element x y z (fractional)
Dy1 0.000 0.000 0.000
Dy2 0.024 0.024 0.450
Dy3 0.314 0.314 0.161
Dy4 0.341 0.341 0.617
Dy5 0.668 0.668 0.806
Hg1 0.672 0.672 0.309



(4)
Material: Hg4ClF5
Method: DFT, PBE
State: optimized geometry

Calculated values
ρ   7.8 Mg/m³
SG   Pmmn (59)
Raw formation energy   -1.166 eV per atom
Magnetic moment   0.000 Bohr magnetons per cell
Calculated total energy   -48.14 eV for the cell shown

a = 7.285 Å, b = 9.100 Å, c = 6.015 Å
α = 90.00°, β = 90.00°, γ = 90.00°
Element x y z (fractional)
Hg1 0.069 0.250 0.004
Hg2 0.250 0.008 0.465
Hg3 0.250 0.492 0.465
Hg4 0.431 0.250 0.004
Hg5 0.569 0.750 0.996
Hg6 0.750 0.508 0.535
Hg7 0.750 0.992 0.535
Hg8 0.931 0.750 0.996
Cl1 0.250 0.750 0.202
Cl2 0.750 0.250 0.798
F1 0.025 0.548 0.730
F2 0.025 0.952 0.730
F3 0.250 0.250 0.571
F4 0.475 0.548 0.730
F5 0.475 0.952 0.730
F6 0.525 0.048 0.270
F7 0.525 0.452 0.270
F8 0.750 0.750 0.429
F9 0.975 0.048 0.270
F10 0.975 0.452 0.270



What is the ρ in the fourth record?
7.8 Mg/m³